This record from the Alexandria database describes an optimized crystal structure of SnGeS2. The functional is PBE-GGA.

Summary:
The value obtained for the total moment is 0.0 Bohr magnetons per cell. The formation energy from raw total energies is -0.07 eV per atom. The density of states at the Fermi level is 2.2 states/eV/cell.

a = 6.3317 Å, b = 6.3317 Å, c = 6.3317 Å
α = 111.70°, β = 111.70°, γ = 105.10°
Atoms (fractional coordinates):
Sn (0.0000, 0.0000, 0.0000)
Sn (0.7500, 0.2500, 0.5000)
Ge (0.2500, 0.7500, 0.5000)
Ge (0.5000, 0.5000, 0.0000)
S (0.1474, 0.6250, 0.0224)
S (0.3750, 0.3974, 0.5224)
S (0.6026, 0.1250, 0.9776)
S (0.8750, 0.8526, 0.4776)

---

This record from the Alexandria database describes an optimized crystal structure of Sn3GeS. The functional is PBE-GGA.

Summary:
The value obtained for the total moment is 0.0 Bohr magnetons per cell. The formation energy from raw total energies is 0.61 eV per atom. The density of states at the Fermi level is 3.6 states/eV/cell. The value obtained for the energy above the most stable polymorph in this dataset is 229.9 meV/atom.

a = 5.3792 Å, b = 5.3792 Å, c = 5.3792 Å
α = 90.00°, β = 90.00°, γ = 90.00°
Atoms (fractional coordinates):
Sn (0.0000, 0.0000, 0.5000)
Sn (0.0000, 0.5000, 0.0000)
Sn (0.5000, 0.0000, 0.0000)
Ge (0.0000, 0.0000, 0.0000)
S (0.5000, 0.5000, 0.5000)

---

This record from the Alexandria database describes an optimized crystal structure of SnGeS2. The functional is PBE-GGA.

Summary:
The value obtained for the total moment is 0.0 Bohr magnetons per cell. The formation energy from raw total energies is -0.17 eV per atom. The density of states at the Fermi level is 1.7 states/eV/cell.

a = 8.7129 Å, b = 8.7129 Å, c = 8.7129 Å
α = 23.39°, β = 23.39°, γ = 23.39°
Atoms (fractional coordinates):
Sn (0.0000, 0.0000, 0.0000)
Ge (0.5000, 0.5000, 0.5000)
S (0.1105, 0.1105, 0.1105)
S (0.8895, 0.8895, 0.8895)

---

This record from the Alexandria database describes an optimized crystal structure of SnGeS2. The functional is PBE-GGA.

Summary:
The value obtained for the total moment is 0.0 Bohr magnetons per cell. The formation energy from raw total energies is -0.32 eV per atom. The density of states at the Fermi level is 0.0 states/eV/cell.

a = 4.7946 Å, b = 3.8037 Å, c = 5.7443 Å
α = 90.00°, β = 109.54°, γ = 90.00°
Atoms (fractional coordinates):
Sn (0.0000, 0.0000, 0.0000)
Ge (0.4585, 0.5000, 0.6470)
S (0.1155, 0.0000, 0.4965)
S (0.3922, 0.5000, 0.0584)

---

This record from the Alexandria database describes an optimized crystal structure of SnGeS2. The functional is PBE-GGA.

Summary:
The value obtained for the total moment is 0.0 Bohr magnetons per cell. The formation energy from raw total energies is -0.28 eV per atom. The density of states at the Fermi level is 0.1 states/eV/cell.

a = 8.0667 Å, b = 8.0667 Å, c = 8.0667 Å
α = 27.37°, β = 27.37°, γ = 27.37°
Atoms (fractional coordinates):
Sn (0.0000, 0.0000, 0.0000)
Ge (0.8264, 0.8264, 0.8264)
S (0.2132, 0.2132, 0.2132)
S (0.3985, 0.3985, 0.3985)

---

This record from the Alexandria database describes an optimized crystal structure of Sn3GeS. The functional is PBE-GGA.

Summary:
The value obtained for the total moment is 0.0 Bohr magnetons per cell. The formation energy from raw total energies is 0.38 eV per atom. The density of states at the Fermi level is 0.8 states/eV/cell. The value obtained for the energy above the most stable polymorph in this dataset is 0.0 meV/atom.

a = 5.3096 Å, b = 5.3096 Å, c = 5.3096 Å
α = 90.00°, β = 90.00°, γ = 90.00°
Atoms (fractional coordinates):
Sn (0.0000, 0.0000, 0.5000)
Sn (0.0000, 0.5000, 0.0000)
Sn (0.5000, 0.0000, 0.0000)
Ge (0.5000, 0.5000, 0.5000)
S (0.0000, 0.0000, 0.0000)

---

This record from the Alexandria database describes an optimized crystal structure of SnGe3S. The functional is PBE-GGA.

Summary:
The value obtained for the total moment is 0.0 Bohr magnetons per cell. The formation energy from raw total energies is 0.43 eV per atom. The density of states at the Fermi level is 1.9 states/eV/cell. The value obtained for the energy above the most stable polymorph in this dataset is 0.0 meV/atom.

a = 4.9675 Å, b = 4.9675 Å, c = 4.9675 Å
α = 90.00°, β = 90.00°, γ = 90.00°
Atoms (fractional coordinates):
Sn (0.0000, 0.0000, 0.0000)
Ge (0.0000, 0.5000, 0.5000)
Ge (0.5000, 0.0000, 0.5000)
Ge (0.5000, 0.5000, 0.0000)
S (0.5000, 0.5000, 0.5000)

---

This record from the Alexandria database describes an optimized crystal structure of SrSnGe2S6. The functional is PBE-GGA.

Summary:
The value obtained for the total moment is 0.0 Bohr magnetons per cell. The formation energy from raw total energies is -0.66 eV per atom.

a = 8.8802 Å, b = 8.8802 Å, c = 6.9879 Å
α = 101.81°, β = 101.81°, γ = 84.60°
Atoms (fractional coordinates):
Sr (0.1114, 0.8886, 0.7500)
Sr (0.8886, 0.1114, 0.2500)
Sn (0.2967, 0.7033, 0.2500)
Sn (0.7033, 0.2967, 0.7500)
Ge (0.1994, 0.3727, 0.7609)
Ge (0.3727, 0.1994, 0.2609)
Ge (0.6273, 0.8006, 0.7391)
Ge (0.8006, 0.6273, 0.2391)
S (0.0107, 0.2079, 0.6800)
S (0.1051, 0.6012, 0.8755)
S (0.2079, 0.0107, 0.1800)
S (0.3043, 0.4055, 0.4941)
S (0.3988, 0.8949, 0.6245)
S (0.4055, 0.3043, 0.9941)
S (0.5945, 0.6957, 0.0059)
S (0.6012, 0.1051, 0.3755)
S (0.6957, 0.5945, 0.5059)
S (0.7921, 0.9893, 0.8200)
S (0.8949, 0.3988, 0.1245)
S (0.9893, 0.7921, 0.3200)

---

This record from the Alexandria database describes an optimized crystal structure of Tb6SnGe2S3. The functional is PBE-GGA.

Summary:
The value obtained for the total moment is 0.0 Bohr magnetons per cell. The formation energy from raw total energies is -1.40 eV per atom. The density of states at the Fermi level is 4.0 states/eV/cell.

a = 9.1980 Å, b = 9.1980 Å, c = 8.2746 Å
α = 103.47°, β = 103.47°, γ = 25.60°
Atoms (fractional coordinates):
Tb (0.0006, 0.0006, 0.2328)
Tb (0.3274, 0.3274, 0.4119)
Tb (0.3316, 0.3316, 0.9182)
Tb (0.6684, 0.6684, 0.0818)
Tb (0.6726, 0.6726, 0.5881)
Tb (0.9994, 0.9994, 0.7672)
Sn (0.5000, 0.5000, 0.5000)
Ge (0.1659, 0.1659, 0.8324)
Ge (0.8341, 0.8341, 0.1676)
S (0.1667, 0.1667, 0.3313)
S (0.5000, 0.5000, 0.0000)
S (0.8333, 0.8333, 0.6687)

---

This record from the Alexandria database describes an optimized crystal structure of TcSnGeS2. The functional is PBE-GGA.

Summary:
The value obtained for the total moment is 3.2 Bohr magnetons per cell. The formation energy from raw total energies is 1.20 eV per atom. The density of states at the Fermi level is 4.4 states/eV/cell.

a = 4.9860 Å, b = 4.9860 Å, c = 5.3466 Å
α = 90.00°, β = 90.00°, γ = 90.00°
Atoms (fractional coordinates):
Tc (0.0000, 0.0000, 0.0000)
Sn (0.0000, 0.0000, 0.5000)
Ge (0.5000, 0.5000, 0.0000)
S (0.0000, 0.5000, 0.5000)
S (0.5000, 0.0000, 0.5000)

---

Number 1: calculated volume 194.6 Å³/cell. Number 2: calculated volume 155.7 Å³/cell. Number 3: calculated volume 91.6 Å³/cell. Number 4: calculated volume 98.7 Å³/cell. Number 5: calculated volume 97.9 Å³/cell. Number 6: calculated volume 149.7 Å³/cell. Number 7: calculated volume 122.6 Å³/cell. Number 8: calculated volume 527.2 Å³/cell. Number 9: calculated volume 293.8 Å³/cell. Number 10: calculated volume 132.9 Å³/cell.